Mn4Si3Ni5 at its PBEsol-relaxed geometry. Source: the Alexandria database, functional SCAN.

The structure in POSCAR format:
```
Mn4Si3Ni5
1.0
7.4132 0.0000 0.0000
0.0000 2.3225 4.0068
0.0000 -2.3225 4.0068
Mn Si Ni
4 3 5
direct
0.1846 0.0000 0.0000
0.3110 0.6632 0.6632
0.6890 0.6632 0.6632
0.8154 0.0000 0.0000
0.2426 0.3410 0.3410
0.5000 0.1445 0.1445
0.7574 0.3410 0.3410
0.0000 0.5054 0.9956
0.0000 0.5074 0.5074
0.0000 0.9956 0.5054
0.5000 0.1527 0.6558
0.5000 0.6558 0.1527
```

## Properties
**VASP energy**: -190.20 eV/cell